(1)
A relaxed Sr3ScU2P6 crystal. Source: Alexandria via LeMat-Bulk, functional PBE-GGA.

Geometry as CIF:
```
data_Sr3ScU2P6
_cell_length_a 7.0525
_cell_length_b 12.2135
_cell_length_c 7.2788
_cell_angle_alpha 90.00
_cell_angle_beta 108.82
_cell_angle_gamma 90.00
_symmetry_space_group_name_H-M 'C 1 2/m 1'
_symmetry_Int_Tables_number 12
_symmetry_space_group_name_Hall '-C 2y'
loop_
_atom_site_label
_atom_site_type_symbol
_atom_site_fract_x
_atom_site_fract_y
_atom_site_fract_z
Sr1 Sr 0.0000 0.0000 0.0000
Sr2 Sr 0.0000 0.3342 0.0000
Sc1 Sc 0.0000 0.5000 0.5000
U1 U 0.0000 0.1668 0.5000
P1 P 0.2357 0.0000 0.7098
P2 P 0.2370 0.3329 0.7095
```

**Formation energy from the elements**: -1102 meV/atom
**DOS at the Fermi energy**: 26.3 states/eV/cell
**Electronic total energy**: -159.3 eV per cell

***

(2)
A relaxed Sc2TaP crystal. Source: Alexandria via LeMat-Bulk, functional PBE-GGA.

Geometry as CIF:
```
data_Sc2TaP
_cell_length_a 7.8542
_cell_length_b 7.8542
_cell_length_c 5.1290
_cell_angle_alpha 90.00
_cell_angle_beta 90.00
_cell_angle_gamma 90.00
_symmetry_space_group_name_H-M 'I -4 2 d'
_symmetry_Int_Tables_number 122
_symmetry_space_group_name_Hall 'I -4 2bw'
loop_
_atom_site_label
_atom_site_type_symbol
_atom_site_fract_x
_atom_site_fract_y
_atom_site_fract_z
Sc1 Sc 0.1897 0.2500 0.1250
Ta1 Ta 0.0000 0.0000 0.5000
P1 P 0.0000 0.0000 0.0000
```

**Formation energy from the elements**: -89 meV/atom
**DOS at the Fermi energy**: 12.3 states/eV/cell
**Electronic total energy**: -121.1 eV per cell

***

(3)
A relaxed ScTaP3 crystal. Source: Alexandria via LeMat-Bulk, functional PBE-GGA.

Geometry as CIF:
```
data_ScTaP3
_cell_length_a 4.7761
_cell_length_b 4.7761
_cell_length_c 4.7761
_cell_angle_alpha 90.00
_cell_angle_beta 90.00
_cell_angle_gamma 90.00
_symmetry_space_group_name_H-M 'P m -3 m'
_symmetry_Int_Tables_number 221
_symmetry_space_group_name_Hall '-P 4 2 3'
loop_
_atom_site_label
_atom_site_type_symbol
_atom_site_fract_x
_atom_site_fract_y
_atom_site_fract_z
Sc1 Sc 0.0000 0.0000 0.0000
Ta1 Ta 0.5000 0.5000 0.5000
P1 P 0.0000 0.5000 0.5000
```

**Formation energy from the elements**: -7 meV/atom
**DOS at the Fermi energy**: 2.4 states/eV/cell
**Electronic total energy**: -34.4 eV per cell
**Distance to the lowest polymorph of the same formula**: 0.000 eV per atom

***

(4)
A relaxed Sc2TaP crystal. Source: Alexandria via LeMat-Bulk, functional PBE-GGA.

Geometry as CIF:
```
data_Sc2TaP
_cell_length_a 3.3969
_cell_length_b 3.3969
_cell_length_c 6.3563
_cell_angle_alpha 90.00
_cell_angle_beta 90.00
_cell_angle_gamma 90.00
_symmetry_space_group_name_H-M 'P 4/m m m'
_symmetry_Int_Tables_number 123
_symmetry_space_group_name_Hall '-P 4 2'
loop_
_atom_site_label
_atom_site_type_symbol
_atom_site_fract_x
_atom_site_fract_y
_atom_site_fract_z
Sc1 Sc 0.0000 0.0000 0.2229
Ta1 Ta 0.5000 0.5000 0.5000
P1 P 0.5000 0.5000 0.0000
```

**Formation energy from the elements**: -443 meV/atom
**DOS at the Fermi energy**: 4.3 states/eV/cell
**Electronic total energy**: -31.7 eV per cell

***

(5)
A relaxed Sc2TaP2 crystal. Source: Alexandria via LeMat-Bulk, functional PBE-GGA.

Geometry as CIF:
```
data_Sc2TaP2
_cell_length_a 3.3064
_cell_length_b 3.3064
_cell_length_c 17.0351
_cell_angle_alpha 90.00
_cell_angle_beta 90.00
_cell_angle_gamma 90.00
_symmetry_space_group_name_H-M 'I 4/m m m'
_symmetry_Int_Tables_number 139
_symmetry_space_group_name_Hall '-I 4 2'
loop_
_atom_site_label
_atom_site_type_symbol
_atom_site_fract_x
_atom_site_fract_y
_atom_site_fract_z
Sc1 Sc 0.0000 0.0000 0.1220
Ta1 Ta 0.0000 0.0000 0.5000
P1 P 0.0000 0.5000 0.2500
```

**Formation energy from the elements**: -214 meV/atom
**DOS at the Fermi energy**: 4.0 states/eV/cell
**Electronic total energy**: -72.8 eV per cell
**Distance to the lowest polymorph of the same formula**: 0.853 eV per atom

***

(6)
A relaxed ScTaP2 crystal. Source: Alexandria via LeMat-Bulk, functional PBE-GGA.

Geometry as CIF:
```
data_ScTaP2
_cell_length_a 5.7675
_cell_length_b 5.7675
_cell_length_c 11.3297
_cell_angle_alpha 90.00
_cell_angle_beta 90.00
_cell_angle_gamma 90.00
_symmetry_space_group_name_H-M 'I -4 2 d'
_symmetry_Int_Tables_number 122
_symmetry_space_group_name_Hall 'I -4 2bw'
loop_
_atom_site_label
_atom_site_type_symbol
_atom_site_fract_x
_atom_site_fract_y
_atom_site_fract_z
Sc1 Sc 0.0000 0.0000 0.0000
Ta1 Ta 0.0000 0.0000 0.5000
P1 P 0.2286 0.2500 0.6250
```

**Formation energy from the elements**: -435 meV/atom
**DOS at the Fermi energy**: 11.9 states/eV/cell
**Electronic total energy**: -123.0 eV per cell
**Distance to the lowest polymorph of the same formula**: 0.711 eV per atom

***

(7)
A relaxed ScTa2P crystal. Source: Alexandria via LeMat-Bulk, functional PBE-GGA.

Geometry as CIF:
```
data_ScTa2P
_cell_length_a 3.3483
_cell_length_b 3.3483
_cell_length_c 6.2431
_cell_angle_alpha 90.00
_cell_angle_beta 90.00
_cell_angle_gamma 90.00
_symmetry_space_group_name_H-M 'P 4/m m m'
_symmetry_Int_Tables_number 123
_symmetry_space_group_name_Hall '-P 4 2'
loop_
_atom_site_label
_atom_site_type_symbol
_atom_site_fract_x
_atom_site_fract_y
_atom_site_fract_z
Sc1 Sc 0.0000 0.0000 0.0000
Ta1 Ta 0.5000 0.5000 0.2949
P1 P 0.0000 0.0000 0.5000
```

**Formation energy from the elements**: -223 meV/atom
**DOS at the Fermi energy**: 2.9 states/eV/cell
**Electronic total energy**: -36.3 eV per cell

***

(8)
A relaxed ScTaP2 crystal. Source: Alexandria via LeMat-Bulk, functional PBE-GGA.

Geometry as CIF:
```
data_ScTaP2
_cell_length_a 3.8240
_cell_length_b 4.9686
_cell_length_c 6.8548
_cell_angle_alpha 90.00
_cell_angle_beta 90.00
_cell_angle_gamma 90.00
_symmetry_space_group_name_H-M 'I m m m'
_symmetry_Int_Tables_number 71
_symmetry_space_group_name_Hall '-I 2 2'
loop_
_atom_site_label
_atom_site_type_symbol
_atom_site_fract_x
_atom_site_fract_y
_atom_site_fract_z
Sc1 Sc 0.0000 0.0000 0.0000
Ta1 Ta 0.0000 0.0000 0.5000
P1 P 0.0000 0.5000 0.2514
```

**Formation energy from the elements**: -650 meV/atom
**DOS at the Fermi energy**: 5.1 states/eV/cell
**Electronic total energy**: -63.2 eV per cell
**Distance to the lowest polymorph of the same formula**: 0.496 eV per atom

***

(9)
A relaxed ScTaP2 crystal. Source: Alexandria via LeMat-Bulk, functional PBE-GGA.

Geometry as CIF:
```
data_ScTaP2
_cell_length_a 4.7372
_cell_length_b 3.4482
_cell_length_c 8.9421
_cell_angle_alpha 90.00
_cell_angle_beta 90.00
_cell_angle_gamma 90.00
_symmetry_space_group_name_H-M 'A m m 2'
_symmetry_Int_Tables_number 38
_symmetry_space_group_name_Hall 'A 2 -2'
loop_
_atom_site_label
_atom_site_type_symbol
_atom_site_fract_x
_atom_site_fract_y
_atom_site_fract_z
Sc1 Sc 0.0000 0.0000 0.0000
Ta1 Ta 0.5000 0.0000 0.7159
P1 P 0.0000 0.0000 0.7155
P2 P 0.5000 0.0000 0.4257
```

**Formation energy from the elements**: -812 meV/atom
**DOS at the Fermi energy**: 0.6 states/eV/cell
**Electronic total energy**: -64.5 eV per cell
**Distance to the lowest polymorph of the same formula**: 0.334 eV per atom

***

(10)
A relaxed ScTaP3 crystal. Source: Alexandria via LeMat-Bulk, functional PBE-GGA.

Geometry as CIF:
```
data_ScTaP3
_cell_length_a 4.7157
_cell_length_b 4.7157
_cell_length_c 4.7157
_cell_angle_alpha 90.00
_cell_angle_beta 90.00
_cell_angle_gamma 90.00
_symmetry_space_group_name_H-M 'P m -3 m'
_symmetry_Int_Tables_number 221
_symmetry_space_group_name_Hall '-P 4 2 3'
loop_
_atom_site_label
_atom_site_type_symbol
_atom_site_fract_x
_atom_site_fract_y
_atom_site_fract_z
Sc1 Sc 0.0000 0.0000 0.0000
Ta1 Ta 0.5000 0.5000 0.5000
P1 P 0.0000 0.0000 0.5000
```

**Formation energy from the elements**: 982 meV/atom
**DOS at the Fermi energy**: 7.7 states/eV/cell
**Electronic total energy**: -29.5 eV per cell
**Distance to the lowest polymorph of the same formula**: 0.989 eV per atom

***

(11)
A relaxed ScTaP crystal. Source: Alexandria via LeMat-Bulk, functional PBE-GGA.

Geometry as CIF:
```
data_ScTaP
_cell_length_a 3.2983
_cell_length_b 3.2983
_cell_length_c 9.8453
_cell_angle_alpha 90.00
_cell_angle_beta 90.00
_cell_angle_gamma 90.00
_symmetry_space_group_name_H-M 'I 4 m m'
_symmetry_Int_Tables_number 107
_symmetry_space_group_name_Hall 'I 4 -2'
loop_
_atom_site_label
_atom_site_type_symbol
_atom_site_fract_x
_atom_site_fract_y
_atom_site_fract_z
Sc1 Sc 0.0000 0.0000 0.0000
Ta1 Ta 0.0000 0.0000 0.2997
P1 P 0.0000 0.0000 0.6914
```

**Formation energy from the elements**: -588 meV/atom
**DOS at the Fermi energy**: 4.7 states/eV/cell
**Electronic total energy**: -50.7 eV per cell

***

(12)
A relaxed Sc2TaP crystal. Source: Alexandria via LeMat-Bulk, functional PBE-GGA.

Geometry as CIF:
```
data_Sc2TaP
_cell_length_a 4.0247
_cell_length_b 4.0247
_cell_length_c 8.9806
_cell_angle_alpha 90.00
_cell_angle_beta 90.00
_cell_angle_gamma 90.00
_symmetry_space_group_name_H-M 'I -4 m 2'
_symmetry_Int_Tables_number 119
_symmetry_space_group_name_Hall 'I -4 -2'
loop_
_atom_site_label
_atom_site_type_symbol
_atom_site_fract_x
_atom_site_fract_y
_atom_site_fract_z
Sc1 Sc 0.0000 0.0000 0.0000
Sc2 Sc 0.0000 0.5000 0.2500
Ta1 Ta 0.0000 0.5000 0.7500
P1 P 0.0000 0.0000 0.5000
```

**Formation energy from the elements**: -242 meV/atom
**DOS at the Fermi energy**: 6.8 states/eV/cell
**Electronic total energy**: -61.8 eV per cell

***

> Which of these has the lowest DOS at the Fermi energy?

number 9